Record 1
# PBE Nd3Dy4Th2, relaxed
# crystal system = monoclinic
# Fermi-level density of states = 1.39 states/eV/atom
# VASP energy = -94.8 eV per cell
# M_tot = 0.00 μB per atom
# DFT formation energy = 15 meV per atom
data_Nd3Dy4Th2
_chemical_formula_sum 'Nd6 Dy8 Th4'
_cell_length_a 18.868
_cell_length_b 3.626
_cell_length_c 9.623
_cell_angle_alpha 90.00
_cell_angle_beta 115.78
_cell_angle_gamma 90.00
_symmetry_space_group_name_H-M 'C 1 2/m 1'
_symmetry_Int_Tables_number 12
loop_
_symmetry_equiv_pos_as_xyz
'x,y,z'
'-x,-y,-z'
'-x,y,-z'
'x,-y,z'
'x+1/2,y+1/2,z'
'-x+1/2,-y+1/2,-z'
'-x+1/2,y+1/2,-z'
'x+1/2,-y+1/2,z'
loop_
_atom_site_label
_atom_site_type_symbol
_atom_site_fract_x
_atom_site_fract_y
_atom_site_fract_z
_atom_site_occupancy
Nd1 Nd 0.000 0.000 0.000 1
Nd2 Nd 0.149 0.000 0.671 1
Dy1 Dy 0.018 0.500 0.330 1
Dy2 Dy 0.184 0.000 0.329 1
Th1 Th 0.169 0.500 0.002 1

Record 2
# PBE K2CaH2Cl2, relaxed
# crystal system = tetragonal
# Fermi-level density of states = 0.00 states/eV/atom
# VASP energy = -47.3 eV per cell
# M_tot = 0.00 μB per atom
data_K2CaH2Cl2
_chemical_formula_sum 'K4 Ca2 H4 Cl4'
_cell_length_a 4.515
_cell_length_b 4.515
_cell_length_c 16.521
_cell_angle_alpha 90.00
_cell_angle_beta 90.00
_cell_angle_gamma 90.00
_symmetry_space_group_name_H-M 'I 4/m m m'
_symmetry_Int_Tables_number 139
_symmetry_space_group_name_Hall '-I 4 2'
loop_
_atom_site_label
_atom_site_type_symbol
_atom_site_fract_x
_atom_site_fract_y
_atom_site_fract_z
_atom_site_occupancy
K1 K 0.000 0.000 0.140 1
Ca1 Ca 0.000 0.000 0.500 1
H1 H 0.000 0.500 0.000 1
Cl1 Cl 0.000 0.000 0.334 1

Record 3
# PBE SrLiSn4, relaxed
# crystal system = triclinic
# Fermi-level density of states = 0.32 states/eV/atom
# VASP energy = -42.8 eV per cell
# E above lowest polymorph = 0 meV/atom
# M_tot = 0.00 μB per atom
# DFT formation energy = -299 meV per atom
data_SrLiSn4
_chemical_formula_sum 'Sr2 Li2 Sn8'
_cell_length_a 6.588
_cell_length_b 6.936
_cell_length_c 8.260
_cell_angle_alpha 84.41
_cell_angle_beta 84.48
_cell_angle_gamma 66.31
_symmetry_space_group_name_H-M 'P -1'
_symmetry_Int_Tables_number 2
loop_
_symmetry_equiv_pos_as_xyz
'x,y,z'
'-x,-y,-z'
loop_
_atom_site_label
_atom_site_type_symbol
_atom_site_fract_x
_atom_site_fract_y
_atom_site_fract_z
_atom_site_occupancy
Sr1 Sr 0.191 0.190 0.035 1
Li1 Li 0.000 0.000 0.500 1
Li2 Li 0.500 0.500 0.500 1
Sn1 Sn 0.081 0.475 0.660 1
Sn2 Sn 0.301 0.642 0.156 1
Sn3 Sn 0.321 0.776 0.778 1
Sn4 Sn 0.483 0.892 0.352 1

Record 4
# PBE GaTc2Pd, relaxed
# crystal system = cubic
# Fermi-level density of states = 1.72 states/eV/atom
# VASP energy = -113.6 eV per cell
# E above lowest polymorph = 0 meV/atom
# M_tot = 0.00 μB per atom
# DFT formation energy = 135 meV per atom
data_GaTc2Pd
_chemical_formula_sum 'Ga4 Tc8 Pd4'
_cell_length_a 6.178
_cell_length_b 6.178
_cell_length_c 6.178
_cell_angle_alpha 90.00
_cell_angle_beta 90.00
_cell_angle_gamma 90.00
_symmetry_space_group_name_H-M 'F m -3 m'
_symmetry_Int_Tables_number 225
_symmetry_space_group_name_Hall '-F 4 2 3'
loop_
_atom_site_label
_atom_site_type_symbol
_atom_site_fract_x
_atom_site_fract_y
_atom_site_fract_z
_atom_site_occupancy
Ga1 Ga 0.000 0.000 0.000 1
Tc1 Tc 0.250 0.250 0.250 1
Pd1 Pd 0.000 0.000 0.500 1

Record 5
# PBE Ga2SeF, relaxed
# crystal system = tetragonal
# Fermi-level density of states = 0.23 states/eV/atom
# VASP energy = -58.4 eV per cell
# E above lowest polymorph = 0 meV/atom
# M_tot = 0.00 μB per atom
# energy relative to the elements, uncorrected = -0.795 eV/atom
data_Ga2SeF
_chemical_formula_sum 'Ga8 Se4 F4'
_cell_length_a 4.733
_cell_length_b 4.733
_cell_length_c 14.616
_cell_angle_alpha 90.00
_cell_angle_beta 90.00
_cell_angle_gamma 90.00
_symmetry_space_group_name_H-M 'I -4 2 d'
_symmetry_Int_Tables_number 122
_symmetry_space_group_name_Hall 'I -4 2bw'
loop_
_atom_site_label
_atom_site_type_symbol
_atom_site_fract_x
_atom_site_fract_y
_atom_site_fract_z
_atom_site_occupancy
Ga1 Ga 0.161 0.250 0.125 1
Se1 Se 0.000 0.000 0.500 1
F1 F 0.000 0.000 0.000 1

Record 6
# PBE LaNi2S, relaxed
# crystal system = monoclinic
# Fermi-level density of states = 0.36 states/eV/atom
# VASP energy = -96.0 eV per cell
# M_tot = 0.00 μB per atom
# energy relative to the elements, uncorrected = -0.845 eV/atom
data_LaNi2S
_chemical_formula_sum 'La4 Ni8 S4'
_cell_length_a 9.978
_cell_length_b 3.882
_cell_length_c 8.479
_cell_angle_alpha 90.00
_cell_angle_beta 119.65
_cell_angle_gamma 90.00
_symmetry_space_group_name_H-M 'C 1 m 1'
_symmetry_Int_Tables_number 8
loop_
_symmetry_equiv_pos_as_xyz
'x,y,z'
'x,-y,z'
'x+1/2,y+1/2,z'
'x+1/2,-y+1/2,z'
loop_
_atom_site_label
_atom_site_type_symbol
_atom_site_fract_x
_atom_site_fract_y
_atom_site_fract_z
_atom_site_occupancy
La1 La 0.000 0.000 0.000 1
La2 La 0.102 0.000 0.568 1
Ni1 Ni 0.034 0.500 0.274 1
Ni2 Ni 0.282 0.000 0.007 1
Ni3 Ni 0.301 0.000 0.359 1
Ni4 Ni 0.340 0.500 0.208 1
S1 S 0.159 0.500 0.861 1
S2 S 0.281 0.500 0.484 1

Record 7
# PBE Ag2BS5, relaxed
# crystal system = monoclinic
# Fermi-level density of states = 0.63 states/eV/atom
# VASP energy = -66.4 eV per cell
# M_tot = 0.00 μB per atom
# energy relative to the elements, uncorrected = -0.021 eV/atom
data_Ag2BS5
_chemical_formula_sum 'Ag4 B2 S10'
_cell_length_a 11.518
_cell_length_b 6.134
_cell_length_c 5.896
_cell_angle_alpha 90.00
_cell_angle_beta 119.13
_cell_angle_gamma 90.00
_symmetry_space_group_name_H-M 'C 1 m 1'
_symmetry_Int_Tables_number 8
loop_
_symmetry_equiv_pos_as_xyz
'x,y,z'
'x,-y,z'
'x+1/2,y+1/2,z'
'x+1/2,-y+1/2,z'
loop_
_atom_site_label
_atom_site_type_symbol
_atom_site_fract_x
_atom_site_fract_y
_atom_site_fract_z
_atom_site_occupancy
Ag1 Ag 0.000 0.240 0.000 1
B1 B 0.333 0.500 0.398 1
S1 S 0.173 0.500 0.079 1
S2 S 0.314 0.000 0.284 1
S3 S 0.318 0.500 0.702 1
S4 S 0.449 0.256 0.404 1

Record 8
# PBE Tb7In2Pd2, relaxed
# crystal system = orthorhombic
# Fermi-level density of states = 0.94 states/eV/atom
# VASP energy = -104.3 eV per cell
# M_tot = 0.00 μB per atom
# DFT formation energy = -351 meV per atom
data_Tb7In2Pd2
_chemical_formula_sum 'Tb14 In4 Pd4'
_cell_length_a 8.185
_cell_length_b 11.151
_cell_length_c 7.111
_cell_angle_alpha 90.00
_cell_angle_beta 90.00
_cell_angle_gamma 90.00
_symmetry_space_group_name_H-M 'C m m m'
_symmetry_Int_Tables_number 65
_symmetry_space_group_name_Hall '-C 2 2'
loop_
_atom_site_label
_atom_site_type_symbol
_atom_site_fract_x
_atom_site_fract_y
_atom_site_fract_z
_atom_site_occupancy
Tb1 Tb 0.000 0.000 0.000 1
Tb2 Tb 0.000 0.500 0.249 1
Tb3 Tb 0.250 0.250 0.256 1
In1 In 0.174 0.000 0.500 1
Pd1 Pd 0.000 0.291 0.000 1

Record 9
# PBE BeRePt3, relaxed
# crystal system = cubic
# Fermi-level density of states = 1.65 states/eV/atom
# VASP energy = -31.9 eV per cell
# E above lowest polymorph = 0 meV/atom
# M_tot = 0.65 μB per atom
# DFT formation energy = 475 meV per atom
data_BeRePt3
_chemical_formula_sum 'Be1 Re1 Pt3'
_cell_length_a 4.225
_cell_length_b 4.225
_cell_length_c 4.225
_cell_angle_alpha 90.00
_cell_angle_beta 90.00
_cell_angle_gamma 90.00
_symmetry_space_group_name_H-M 'P m -3 m'
_symmetry_Int_Tables_number 221
_symmetry_space_group_name_Hall '-P 4 2 3'
loop_
_atom_site_label
_atom_site_type_symbol
_atom_site_fract_x
_atom_site_fract_y
_atom_site_fract_z
_atom_site_occupancy
Be1 Be 0.000 0.000 0.000 1
Re1 Re 0.500 0.500 0.500 1
Pt1 Pt 0.000 0.000 0.500 1

Record 10
# PBE Tb2DyHoEr, relaxed
# crystal system = orthorhombic
# Fermi-level density of states = 1.47 states/eV/atom
# VASP energy = -83.7 eV per cell
# M_tot = 0.00 μB per atom
# DFT formation energy = 413 meV per atom
data_Tb2DyHoEr
_chemical_formula_sum 'Tb8 Dy4 Ho4 Er4'
_cell_length_a 8.321
_cell_length_b 11.349
_cell_length_c 7.174
_cell_angle_alpha 90.00
_cell_angle_beta 90.00
_cell_angle_gamma 90.00
_symmetry_space_group_name_H-M 'C m c m'
_symmetry_Int_Tables_number 63
_symmetry_space_group_name_Hall '-C 2c 2'
loop_
_atom_site_label
_atom_site_type_symbol
_atom_site_fract_x
_atom_site_fract_y
_atom_site_fract_z
_atom_site_occupancy
Tb1 Tb 0.192 0.000 0.000 1
Dy1 Dy 0.000 0.225 0.250 1
Ho1 Ho 0.000 0.225 0.750 1
Er1 Er 0.000 0.500 0.250 1

Record 11
# PBE Tb2NdHo6Sc3, relaxed
# crystal system = monoclinic
# Fermi-level density of states = 1.47 states/eV/atom
# VASP energy = -119.9 eV per cell
# M_tot = 0.00 μB per atom
# DFT formation energy = 44 meV per atom
data_Tb2NdHo6Sc3
_chemical_formula_sum 'Tb4 Nd2 Ho12 Sc6'
_cell_length_a 6.046
_cell_length_b 10.469
_cell_length_c 11.472
_cell_angle_alpha 90.00
_cell_angle_beta 100.10
_cell_angle_gamma 90.00
_symmetry_space_group_name_H-M 'C 1 2/m 1'
_symmetry_Int_Tables_number 12
loop_
_symmetry_equiv_pos_as_xyz
'x,y,z'
'-x,-y,-z'
'-x,y,-z'
'x,-y,z'
'x+1/2,y+1/2,z'
'-x+1/2,-y+1/2,-z'
'-x+1/2,y+1/2,-z'
'x+1/2,-y+1/2,z'
loop_
_atom_site_label
_atom_site_type_symbol
_atom_site_fract_x
_atom_site_fract_y
_atom_site_fract_z
_atom_site_occupancy
Tb1 Tb 0.000 0.167 0.000 1
Nd1 Nd 0.000 0.500 0.000 1
Ho1 Ho 0.246 0.167 0.740 1
Ho2 Ho 0.246 0.500 0.739 1
Sc1 Sc 0.000 0.000 0.500 1
Sc2 Sc 0.000 0.333 0.500 1

Record 12
# PBE As3Cl, relaxed
# crystal system = trigonal
# Fermi-level density of states = 0.58 states/eV/atom
# VASP energy = -45.2 eV per cell
# E above lowest polymorph = 172 meV/atom
# M_tot = 0.00 μB per atom
# energy relative to the elements, uncorrected = 0.179 eV/atom
data_As3Cl
_chemical_formula_sum 'As9 Cl3'
_cell_length_a 3.6242
_cell_length_b 3.6242
_cell_length_c 22.6396
_cell_angle_alpha 90.00
_cell_angle_beta 90.00
_cell_angle_gamma 120.00
_symmetry_space_group_name_H-M 'R -3 m'
_symmetry_Int_Tables_number 166
_symmetry_space_group_name_Hall '-R 3 2"'
loop_
_atom_site_label
_atom_site_type_symbol
_atom_site_fract_x
_atom_site_fract_y
_atom_site_fract_z
_atom_site_occupancy
As1 As 0.0000 0.0000 0.0000 1
As2 As 0.0000 0.0000 0.2603 1
Cl1 Cl 0.0000 0.0000 0.5000 1